Computed, not measured: NbRe after structural relaxation at the PBE level of DFT.

Cell and atoms, written as POSCAR:
```
NbRe
1.0
-1.508 2.264 2.614
1.508 -2.264 2.614
1.508 2.264 -2.614
Nb Re
1 1
Direct
0.000 0.000 0.000
0.500 0.500 0.000
```

## Properties
- calculated density (g cm⁻³) = 13.0
- crystal system = orthorhombic
- raw total energy (eV/atom) = -10.5933



Computed, not measured: Nb5Re after structural relaxation at the PBE level of DFT.

Cell and atoms, written as POSCAR:
```
Nb5Re
1.0
3.255 0.000 0.000
0.000 3.255 0.000
0.000 0.000 9.938
Nb Re
5 1
Direct
0.000 0.000 0.000
0.000 0.000 0.341
0.000 0.000 0.659
0.500 0.500 0.169
0.500 0.500 0.831
0.500 0.500 0.500
```

## Properties
- calculated density (g cm⁻³) = 10.3
- crystal system = tetragonal
- raw total energy (eV/atom) = -10.6008



Computed, not measured: NbRe after structural relaxation at the PBE level of DFT.

Cell and atoms, written as POSCAR:
```
NbRe
1.0
0.000 2.915 2.915
2.915 0.000 2.915
2.915 2.915 0.000
Nb Re
1 1
Direct
0.000 0.000 0.000
0.750 0.750 0.750
```

## Properties
- calculated density (g cm⁻³) = 9.4
- crystal system = cubic
- raw total energy (eV/atom) = -9.2361



Computed, not measured: Nb4Re after structural relaxation at the PBE level of DFT.

Cell and atoms, written as POSCAR:
```
Nb4Re
1.0
4.820 0.000 0.000
0.000 4.820 0.000
0.000 0.000 4.820
Nb Re
4 1
Direct
0.000 0.000 0.000
0.000 0.500 0.500
0.500 0.000 0.500
0.500 0.500 0.000
0.500 0.500 0.500
```

## Properties
- calculated density (g cm⁻³) = 8.3
- crystal system = cubic
- raw total energy (eV/atom) = -9.2702



Computed, not measured: NbRe after structural relaxation at the PBE level of DFT.

Cell and atoms, written as POSCAR:
```
NbRe
1.0
7.885 0.000 0.000
0.000 7.885 0.000
0.000 0.000 4.535
Nb Re
8 8
Direct
0.030 0.309 0.000
0.191 0.470 0.500
0.309 0.970 0.000
0.470 0.809 0.500
0.530 0.191 0.500
0.691 0.030 0.000
0.809 0.530 0.500
0.970 0.691 0.000
0.120 0.805 0.500
0.195 0.120 0.500
0.305 0.620 0.000
0.380 0.305 0.000
0.620 0.695 0.000
0.695 0.380 0.000
0.805 0.880 0.500
0.880 0.195 0.500
```

## Properties
- calculated density (g cm⁻³) = 13.1
- crystal system = tetragonal
- raw total energy (eV/atom) = -11.1581



Computed, not measured: NbRe after structural relaxation at the PBE level of DFT.

Cell and atoms, written as POSCAR:
```
NbRe
1.0
2.786 0.000 0.000
0.000 4.526 0.000
-0.946 0.000 5.207
Nb Re
2 2
Direct
0.128 0.250 0.369
0.872 0.750 0.631
0.372 0.750 0.127
0.628 0.250 0.873
```

## Properties
- calculated density (g cm⁻³) = 14.1
- crystal system = monoclinic
- raw total energy (eV/atom) = -11.4041



Computed, not measured: Nb5Re after structural relaxation at the PBE level of DFT.

Cell and atoms, written as POSCAR:
```
Nb5Re
1.0
2.313 -6.988 0.000
2.313 6.988 0.000
0.000 0.000 3.257
Nb Re
5 1
Direct
0.000 0.000 0.000
0.166 0.834 0.500
0.339 0.661 0.000
0.661 0.339 0.000
0.834 0.166 0.500
0.500 0.500 0.500
```

## Properties
- calculated density (g cm⁻³) = 10.3
- crystal system = orthorhombic
- raw total energy (eV/atom) = -10.6047



Computed, not measured: NbRe after structural relaxation at the PBE level of DFT.

Cell and atoms, written as POSCAR:
```
NbRe
1.0
7.153 0.000 0.000
0.000 7.153 0.000
0.000 0.000 7.153
Nb Re
6 6
Direct
0.000 0.250 0.500
0.000 0.750 0.500
0.250 0.500 0.000
0.500 0.000 0.250
0.500 0.000 0.750
0.750 0.500 0.000
0.000 0.500 0.250
0.000 0.500 0.750
0.250 0.000 0.500
0.500 0.250 0.000
0.500 0.750 0.000
0.750 0.000 0.500
```

## Properties
- calculated density (g cm⁻³) = 7.6
- crystal system = cubic
- raw total energy (eV/atom) = -9.0620



Computed, not measured: NbRe after structural relaxation at the PBE level of DFT.

Cell and atoms, written as POSCAR:
```
NbRe
1.0
7.659 0.000 0.000
0.000 2.958 0.000
0.000 0.000 9.096
Nb Re
6 6
Direct
0.000 0.237 0.000
0.177 0.370 0.487
0.323 0.630 0.987
0.500 0.763 0.500
0.677 0.630 0.987
0.823 0.370 0.487
0.000 0.741 0.736
0.196 0.884 0.235
0.304 0.116 0.735
0.500 0.259 0.236
0.696 0.116 0.735
0.804 0.884 0.235
```

## Properties
- calculated density (g cm⁻³) = 13.5
- crystal system = orthorhombic
- raw total energy (eV/atom) = -11.0011



Computed, not measured: NbRe after structural relaxation at the PBE level of DFT.

Cell and atoms, written as POSCAR:
```
NbRe
1.0
5.271 0.000 0.000
0.000 5.271 0.000
0.000 0.000 5.287
Nb Re
4 4
Direct
0.208 0.208 0.000
0.292 0.708 0.500
0.708 0.292 0.500
0.792 0.792 0.000
0.200 0.200 0.500
0.300 0.700 0.000
0.700 0.300 0.000
0.800 0.800 0.500
```

## Properties
- calculated density (g cm⁻³) = 12.6
- crystal system = tetragonal
- raw total energy (eV/atom) = -10.3975



Computed, not measured: Nb2Re after structural relaxation at the PBE level of DFT.

Cell and atoms, written as POSCAR:
```
Nb2Re
1.0
1.612 -6.939 0.000
1.612 6.939 0.000
0.000 0.000 4.556
Nb Re
4 2
Direct
0.080 0.920 0.750
0.246 0.754 0.250
0.754 0.246 0.750
0.920 0.080 0.250
0.417 0.583 0.750
0.583 0.417 0.250
```

## Properties
- calculated density (g cm⁻³) = 12.1
- crystal system = orthorhombic
- raw total energy (eV/atom) = -11.1099



Computed, not measured: NbRe after structural relaxation at the PBE level of DFT.

Cell and atoms, written as POSCAR:
```
NbRe
1.0
-3.972 3.972 2.260
3.972 -3.972 2.260
3.972 3.972 -2.260
Nb Re
4 4
Direct
0.010 0.693 0.703
0.307 0.010 0.317
0.693 0.990 0.683
0.990 0.307 0.297
0.328 0.353 0.680
0.353 0.672 0.025
0.647 0.328 0.975
0.672 0.647 0.320
```

## Properties
- calculated density (g cm⁻³) = 13.0
- crystal system = tetragonal
- raw total energy (eV/atom) = -11.0504